DFT (GGA-PBEsol) results for crystalline YTl2W at its relaxed geometry.

Structure (POSCAR):
```
YTl2W
1.0
3.097 -0.009 0.000
-0.205 5.600 0.000
-1.446 -2.795 5.109
Tl W Y
2 1 1
Direct
0.000 0.000 0.500
0.500 0.500 0.500
0.500 0.000 0.000
0.000 0.500 0.000
```

total moment	0.00	μB/cell
polymorph energy (0 for the lowest one)	0.056	eV/atom
N(E_F)	0.709	states/eV/atom
DFT formation energy	0.54	eV per atom
electronic total energy	-5.9294	eV per atom

DFT (GGA-PBEsol) results for crystalline YTlW2 at its relaxed geometry.

Structure (POSCAR):
```
YTlW2
1.0
-0.456 -0.840 -2.700
1.551 -2.360 0.472
-7.859 -4.612 2.761
Tl W Y
1 2 1
Direct
0.500 0.500 0.500
0.000 0.000 0.741
0.000 0.000 0.259
0.500 0.500 0.000
```

total moment	0.00	μB/cell
polymorph energy (0 for the lowest one)	0.253	eV/atom
N(E_F)	0.817	states/eV/atom
DFT formation energy	0.91	eV per atom
electronic total energy	-8.3580	eV per atom

DFT (GGA-PBEsol) results for crystalline YTlW2 at its relaxed geometry.

Structure (POSCAR):
```
YTlW2
1.0
3.635 0.000 0.000
0.000 4.484 0.000
0.000 0.000 4.712
Tl W Y
1 2 1
Direct
0.000 0.500 0.500
0.000 0.000 0.000
0.500 0.500 0.000
0.500 0.000 0.500
```

total moment	0.00	μB/cell
polymorph energy (0 for the lowest one)	0.000	eV/atom
N(E_F)	0.754	states/eV/atom
DFT formation energy	0.66	eV per atom
electronic total energy	-8.6113	eV per atom

DFT (GGA-PBEsol) results for crystalline YTl2W at its relaxed geometry.

Structure (POSCAR):
```
YTl2W
1.0
-1.265 0.003 -4.201
2.834 -3.238 -0.856
-3.150 -3.007 0.947
Tl W Y
2 1 1
Direct
0.000 0.500 0.000
0.500 0.000 0.000
0.500 0.500 0.500
0.000 0.000 0.500
```

total moment	0.00	μB/cell
polymorph energy (0 for the lowest one)	0.000	eV/atom
N(E_F)	0.753	states/eV/atom
DFT formation energy	0.49	eV per atom
electronic total energy	-5.9849	eV per atom